Entry from the Alexandria database: a PBEsol-optimized structure of BiIr2I (meta-GGA SCAN).

Structure (POSCAR):
```
BiIr2I
1.0
4.787 0.000 0.000
2.393 4.146 0.000
2.393 1.382 3.908
I Ir Bi
1 2 1
direct
0.000 0.000 0.000
0.250 0.250 0.250
0.750 0.750 0.750
0.500 0.500 0.500
```

size of the total moment = 0.00 μB/f.u.
calculated total energy = -252.9 eV/f.u.
formation energy (no corrections) = 1.14 eV/atom
crystal system = cubic
SG = Fm-3m, No. 225

---

Entry from the Alexandria database: a PBEsol-optimized structure of BiIr3I (meta-GGA SCAN).

Structure (POSCAR):
```
BiIr3I
1.0
-4.294 1.050 -1.971
0.721 -3.390 -3.378
-2.113 -3.291 2.851
I Ir Bi
1 3 1
direct
0.000 0.000 0.000
0.000 0.500 0.000
0.000 0.000 0.500
0.500 0.000 0.000
0.500 0.500 0.500
```

size of the total moment = 0.00 μB/f.u.
calculated total energy = -319.0 eV/f.u.
formation energy (no corrections) = 1.93 eV/atom
crystal system = cubic
SG = Pm-3m, No. 221

---

Question: The lowest formation energy (no corrections) belongs to which entry?
Answer: BiIr2I

---

Question: What is the formula in the first record?
Answer: BiIr2I

---

Question: size of the total moment of number 1 (BiIr2I)?
Answer: 0.00 μB/f.u.

---

Please write out number 2 again, unchanged.
Entry from the Alexandria database: a PBEsol-optimized structure of BiIr3I (meta-GGA SCAN).

Structure (POSCAR):
```
BiIr3I
1.0
-4.294 1.050 -1.971
0.721 -3.390 -3.378
-2.113 -3.291 2.851
I Ir Bi
1 3 1
direct
0.000 0.000 0.000
0.000 0.500 0.000
0.000 0.000 0.500
0.500 0.000 0.000
0.500 0.500 0.500
```

size of the total moment = 0.00 μB/f.u.
calculated total energy = -319.0 eV/f.u.
formation energy (no corrections) = 1.93 eV/atom
crystal system = cubic
SG = Pm-3m, No. 221